CeThB12 | GGA-PBEsol | optimized geometry

Output
- calculated formation energy (eV per atom) = -0.515
- E_tot (eV per atom) = -7.58
- space group = No. 123
- volume (A^3/atom) = 9.8
- density of states at the Fermi level (states/eV per cell) = 5.97

abc: 4.087 4.087 8.179
angles: 90.00 90.00 90.00
Each line ends with the local moment (μB).
Atoms (fractional coordinates):
B (0.198, 0.500, 0.250)  0.00
B (0.198, 0.500, 0.750)  0.00
B (0.500, 0.500, 0.401)  0.00
B (0.500, 0.500, 0.901)  0.00
B (0.500, 0.198, 0.250)  0.00
B (0.500, 0.198, 0.750)  0.00
B (0.500, 0.500, 0.099)  0.00
B (0.500, 0.500, 0.599)  0.00
B (0.500, 0.802, 0.250)  0.00
B (0.500, 0.802, 0.750)  0.00
B (0.802, 0.500, 0.250)  0.00
B (0.802, 0.500, 0.750)  0.00
Th (0.000, 0.000, 0.500)  0.58
Ce (0.000, 0.000, 0.000)  0.01